VASP calculation (PBE with a Hubbard U) on crystalline KWF3 at its relaxed geometry.

Its total DFT energy (no corrections) is -3.497 eV/atom. The energy above the most stable polymorph in this dataset is 1.309 eV/atom. As for the magnetic moment: 4.0 μB/f.u. The calculation puts the mass density at 4.712 g cm⁻³. Its crystal system is cubic. As for the space group: Pm-3m, No. 221.

```
KWF3
1.0
4.6207 0.0000 0.0000
0.0000 4.6207 0.0000
0.0000 0.0000 4.6207
K W F
1 1 3
Cartesian
0.0000 0.0000 0.0000
2.3103 2.3103 2.3103
0.0000 0.0000 2.3103
0.0000 2.3103 0.0000
2.3103 0.0000 0.0000
```